# K12AlHg6

A relaxed structure of K12AlHg6 (PBE-GGA, Alexandria via LeMat-Bulk). Values from VASP.

Calculated values
The space group is R-3m (166). Its volume is 43.36 Å³ per atom. As for the magnetization: 0.00 Bohr magnetons per cell. For the uncorrected energy, the calculation gives -0.077 Ry per atom.

```
&SYSTEM
  ibrav = 0, nat = 19, ntyp = 3
/
ATOMIC_SPECIES
Hg 200.59 Hg.upf
Al 26.98 Al.upf
K 39.10 K.upf
ATOMIC_POSITIONS crystal
Hg 0.2025 0.8672 0.2026
Hg 0.7974 0.7975 0.1328
Hg 0.8672 0.2026 0.2025
Hg 0.1328 0.7974 0.7975
Hg 0.7975 0.1328 0.7974
Hg 0.2026 0.2025 0.8672
Al 0.0000 0.0000 0.0000
K 0.4541 0.8117 0.4542
K 0.4647 0.8788 0.8788
K 0.4542 0.4541 0.8117
K 0.5458 0.5459 0.1883
K 0.5459 0.1883 0.5458
K 0.8788 0.4647 0.8788
K 0.5353 0.1212 0.1212
K 0.8788 0.8788 0.4647
K 0.1883 0.5458 0.5459
K 0.1212 0.1212 0.5353
K 0.8117 0.4542 0.4541
K 0.1212 0.5353 0.1212
CELL_PARAMETERS angstrom
9.4031 0.2398 1.9235
1.6168 9.2661 1.9235
0.2780 0.2398 9.5938
```